The following is a DFT calculation (PBE) of crystalline Cs3Na12Au5 at its relaxed geometry.

The structure in CIF format:
```
data_Cs3Na12Au5
_chemical_formula_sum 'Cs24 Na96 Au40'
_cell_length_a 19.5618
_cell_length_b 19.5618
_cell_length_c 19.5618
_cell_angle_alpha 90.00
_cell_angle_beta 90.00
_cell_angle_gamma 90.00
_symmetry_space_group_name_H-M 'I a -3 d'
_symmetry_Int_Tables_number 230
_symmetry_space_group_name_Hall '-I 4bd 2c 3'
loop_
_atom_site_label
_atom_site_fract_x
_atom_site_fract_y
_atom_site_fract_z
_atom_site_occupancy
Cs1 0.0000 0.2500 0.1250 1
Na1 0.0443 0.1180 0.9172 1
Au1 0.0000 0.0000 0.0000 1
Au2 0.0000 0.2500 0.3750 1
```

---

The following is a DFT calculation (PBE) of crystalline Cs8Na3Au2 at its relaxed geometry.

The structure in CIF format:
```
data_Cs8Na3Au2
_chemical_formula_sum 'Cs16 Na6 Au4'
_cell_length_a 21.1812
_cell_length_b 11.2323
_cell_length_c 7.5839
_cell_angle_alpha 90.00
_cell_angle_beta 93.16
_cell_angle_gamma 90.00
_symmetry_space_group_name_H-M 'C 1 2/m 1'
_symmetry_Int_Tables_number 12
loop_
_symmetry_equiv_pos_as_xyz
'x,y,z'
'-x,-y,-z'
'-x,y,-z'
'x,-y,z'
'x+1/2,y+1/2,z'
'-x+1/2,-y+1/2,-z'
'-x+1/2,y+1/2,-z'
'x+1/2,-y+1/2,z'
loop_
_atom_site_label
_atom_site_fract_x
_atom_site_fract_y
_atom_site_fract_z
_atom_site_occupancy
Cs1 0.0892 0.0000 0.3122 1
Cs2 0.1470 0.2573 0.8889 1
Cs3 0.1980 0.5000 0.4040 1
Na1 0.0000 0.3487 0.5000 1
Na2 0.0000 0.5000 0.0000 1
Au1 0.2371 0.0000 0.0728 1
```

---

no.,DOS(E_F) (states/eV/cell),formation energy from the elements (eV per atom)
1,68.767,-0.03
2,21.184,-0.08